! PBE Cs3TeCl7, relaxed; values from VASP
&SYSTEM
  ibrav = 0, nat = 11, ntyp = 3
/
ATOMIC_SPECIES
Cl 35.45 Cl.upf
Cs 132.91 Cs.upf
Te 127.60 Te.upf
CELL_PARAMETERS angstrom
-3.826 -5.411 2.518
0.448 3.120 6.350
-8.135 3.801 0.612
ATOMIC_POSITIONS crystal
Cl 0.672 0.031 0.122
Cl 0.012 0.361 0.823
Cl 0.031 0.672 0.122
Cl 0.629 0.629 0.529
Cl 0.887 0.887 0.775
Cl 0.361 0.012 0.823
Cl 0.148 0.148 0.208
Cs 0.501 0.501 0.922
Cs 0.701 0.165 0.472
Cs 0.165 0.701 0.472
Te 0.018 0.018 0.982
! Crystal system   monoclinic
! E_form (uncorrected)   -15.2 eV/f.u.
! Uncorrected energy   -33.85 eV/f.u.

---

! PBE Cs2TeCl4, relaxed; values from VASP
&SYSTEM
  ibrav = 0, nat = 7, ntyp = 3
/
ATOMIC_SPECIES
Cl 35.45 Cl.upf
Cs 132.91 Cs.upf
Te 127.60 Te.upf
CELL_PARAMETERS angstrom
0.005 2.574 -6.835
7.197 0.023 1.242
-3.244 -6.488 0.840
ATOMIC_POSITIONS crystal
Cl 0.263 0.263 0.527
Cl 0.737 0.264 0.000
Cl 0.264 0.737 0.000
Cl 0.737 0.737 0.473
Cs 0.250 0.750 0.500
Cs 0.750 0.250 0.500
Te 0.500 0.500 0.000
! Crystal system   monoclinic
! E_form (uncorrected)   -9.7 eV/f.u.
! Uncorrected energy   -21.90 eV/f.u.
! ΔE to the lowest computed polymorph   0 meV per atom

---

! PBE CsTeCl6, relaxed; values from VASP
&SYSTEM
  ibrav = 0, nat = 8, ntyp = 3
/
ATOMIC_SPECIES
Cl 35.45 Cl.upf
Cs 132.91 Cs.upf
Te 127.60 Te.upf
CELL_PARAMETERS angstrom
7.118 0.000 0.000
3.559 6.165 0.000
3.559 2.055 6.541
ATOMIC_POSITIONS crystal
Cl 0.092 0.092 0.217
Cl 0.599 0.092 0.217
Cl 0.908 0.401 0.783
Cl 0.908 0.908 0.783
Cl 0.092 0.599 0.217
Cl 0.401 0.908 0.783
Cs 0.500 0.500 0.500
Te 0.000 0.000 0.000
! Crystal system   trigonal
! E_form (uncorrected)   -7.1 eV/f.u.
! Uncorrected energy   -22.14 eV/f.u.

---

! PBE Cs4Te5Cl, relaxed; values from VASP
&SYSTEM
  ibrav = 0, nat = 10, ntyp = 3
/
ATOMIC_SPECIES
Te 127.60 Te.upf
Cs 132.91 Cs.upf
Cl 35.45 Cl.upf
CELL_PARAMETERS angstrom
-4.867 -0.739 -3.042
-7.276 -1.162 6.419
-4.792 8.516 0.093
ATOMIC_POSITIONS crystal
Te 0.563 0.561 0.812
Te 0.563 0.812 0.561
Te 0.937 0.439 0.188
Te 0.937 0.188 0.439
Te 0.750 0.500 0.500
Cs 0.585 0.165 0.165
Cs 0.250 0.712 0.288
Cs 0.915 0.835 0.835
Cs 0.250 0.288 0.712
Cl 0.250 0.000 0.000
! Crystal system   orthorhombic
! E_form (uncorrected)   -8.3 eV/f.u.
! Uncorrected energy   -29.29 eV/f.u.

---

! PBE Cs2TeCl, relaxed; values from VASP
&SYSTEM
  ibrav = 0, nat = 8, ntyp = 3
/
ATOMIC_SPECIES
Cs 132.91 Cs.upf
Te 127.60 Te.upf
Cl 35.45 Cl.upf
CELL_PARAMETERS angstrom
-4.748 4.748 5.237
4.748 -4.748 5.237
4.748 4.748 -5.237
ATOMIC_POSITIONS crystal
Cs 0.875 0.419 0.044
Cs 0.169 0.125 0.544
Cs 0.375 0.831 0.956
Cs 0.581 0.625 0.456
Te 0.750 0.250 0.500
Te 0.000 0.000 0.000
Cl 0.250 0.750 0.500
Cl 0.500 0.500 0.000
! Crystal system   tetragonal
! E_form (uncorrected)   -4.5 eV/f.u.
! Uncorrected energy   -11.18 eV/f.u.
! ΔE to the lowest computed polymorph   233 meV per atom

---

! PBE CsTeCl6, relaxed; values from VASP
&SYSTEM
  ibrav = 0, nat = 8, ntyp = 3
/
ATOMIC_SPECIES
Cl 35.45 Cl.upf
Te 127.60 Te.upf
Cs 132.91 Cs.upf
CELL_PARAMETERS angstrom
6.951 0.054 -1.013
-1.362 6.257 -1.757
-0.088 -0.224 6.636
ATOMIC_POSITIONS crystal
Cl 0.031 0.694 0.694
Cl 0.260 0.249 0.924
Cl 0.740 0.751 0.076
Cl 0.740 0.076 0.751
Cl 0.260 0.924 0.249
Cl 0.969 0.306 0.306
Te 0.000 0.000 0.000
Cs 0.500 0.500 0.500
! Crystal system   monoclinic
! E_form (uncorrected)   -7.1 eV/f.u.
! Uncorrected energy   -22.13 eV/f.u.

---

! PBE CsTeCl2, relaxed; values from VASP
&SYSTEM
  ibrav = 0, nat = 4, ntyp = 3
/
ATOMIC_SPECIES
Cl 35.45 Cl.upf
Te 127.60 Te.upf
Cs 132.91 Cs.upf
CELL_PARAMETERS angstrom
6.121 -3.980 5.957
7.797 -5.084 1.466
8.750 -0.677 3.432
ATOMIC_POSITIONS crystal
Cl 0.096 0.096 0.096
Cl 0.904 0.904 0.904
Te 0.000 0.000 0.000
Cs 0.500 0.500 0.500
! Crystal system   trigonal
! E_form (uncorrected)   -3.7 eV/f.u.
! Uncorrected energy   -11.40 eV/f.u.
! ΔE to the lowest computed polymorph   0 meV per atom

---

! PBE Cs2Te2Cl, relaxed; values from VASP
&SYSTEM
  ibrav = 0, nat = 5, ntyp = 3
/
ATOMIC_SPECIES
Te 127.60 Te.upf
Cs 132.91 Cs.upf
Cl 35.45 Cl.upf
CELL_PARAMETERS angstrom
7.324 0.000 0.000
0.000 7.324 0.000
3.662 3.662 4.814
ATOMIC_POSITIONS crystal
Te 0.359 0.359 0.283
Te 0.641 0.641 0.717
Cs 0.250 0.750 0.500
Cs 0.750 0.250 0.500
Cl 0.000 0.000 0.000
! Crystal system   tetragonal
! E_form (uncorrected)   -4.5 eV/f.u.
! Uncorrected energy   -14.35 eV/f.u.
! ΔE to the lowest computed polymorph   241 meV per atom

---

! PBE Cs2TeCl, relaxed; values from VASP
&SYSTEM
  ibrav = 0, nat = 8, ntyp = 3
/
ATOMIC_SPECIES
Cs 132.91 Cs.upf
Te 127.60 Te.upf
Cl 35.45 Cl.upf
CELL_PARAMETERS angstrom
-3.227 -3.524 -3.027
3.519 0.313 -4.116
5.098 -10.777 7.113
ATOMIC_POSITIONS crystal
Cs 0.250 0.067 0.135
Cs 0.750 0.933 0.865
Cs 0.250 0.316 0.633
Cs 0.750 0.684 0.367
Te 0.750 0.521 0.042
Te 0.250 0.479 0.958
Cl 0.250 0.193 0.385
Cl 0.750 0.807 0.615
! Crystal system   orthorhombic
! E_form (uncorrected)   -5.4 eV/f.u.
! Uncorrected energy   -12.11 eV/f.u.
! ΔE to the lowest computed polymorph   0 meV per atom

---

! PBE CsTeCl, relaxed; values from VASP
&SYSTEM
  ibrav = 0, nat = 6, ntyp = 3
/
ATOMIC_SPECIES
Te 127.60 Te.upf
Cl 35.45 Cl.upf
Cs 132.91 Cs.upf
CELL_PARAMETERS angstrom
4.673 -0.128 -0.860
0.024 4.981 -0.614
-2.035 -0.942 12.866
ATOMIC_POSITIONS crystal
Te 0.694 0.470 0.439
Te 0.306 0.530 0.561
Cl 0.881 0.323 0.145
Cl 0.119 0.677 0.855
Cs 0.381 0.823 0.145
Cs 0.619 0.177 0.855
! Crystal system   triclinic
! E_form (uncorrected)   -3.5 eV/f.u.
! Uncorrected energy   -9.37 eV/f.u.
! ΔE to the lowest computed polymorph   0 meV per atom

---

! PBE CsTe3Cl, relaxed; values from VASP
&SYSTEM
  ibrav = 0, nat = 5, ntyp = 3
/
ATOMIC_SPECIES
Cl 35.45 Cl.upf
Te 127.60 Te.upf
Cs 132.91 Cs.upf
CELL_PARAMETERS angstrom
-3.874 6.451 -1.023
-5.941 -3.975 -2.565
-2.714 -0.508 7.074
ATOMIC_POSITIONS crystal
Cl 0.500 0.500 0.500
Te 0.500 0.000 0.000
Te 0.000 0.500 0.000
Te 0.000 0.000 0.500
Cs 0.000 0.000 0.000
! Crystal system   cubic
! E_form (uncorrected)   4.3 eV/f.u.
! Uncorrected energy   -7.86 eV/f.u.
! ΔE to the lowest computed polymorph   799 meV per atom

---

! PBE CsTe2Cl8, relaxed; values from VASP
&SYSTEM
  ibrav = 0, nat = 11, ntyp = 3
/
ATOMIC_SPECIES
Te 127.60 Te.upf
Cl 35.45 Cl.upf
Cs 132.91 Cs.upf
CELL_PARAMETERS angstrom
5.478 -0.001 -0.001
-0.001 8.500 -4.906
-0.001 0.000 9.817
ATOMIC_POSITIONS crystal
Te 0.715 0.667 0.333
Te 0.285 0.333 0.667
Cl 0.786 0.333 0.667
Cl 0.290 0.625 0.812
Cl 0.214 0.667 0.333
Cl 0.710 0.813 0.625
Cl 0.710 0.375 0.188
Cl 0.290 0.187 0.375
Cl 0.290 0.188 0.813
Cl 0.710 0.812 0.187
Cs 0.000 0.000 0.000
! Crystal system   trigonal
! E_form (uncorrected)   -8.1 eV/f.u.
! Uncorrected energy   -29.99 eV/f.u.

---

! PBE Cs3TeCl, relaxed; values from VASP
&SYSTEM
  ibrav = 0, nat = 5, ntyp = 3
/
ATOMIC_SPECIES
Cs 132.91 Cs.upf
Te 127.60 Te.upf
Cl 35.45 Cl.upf
CELL_PARAMETERS angstrom
6.491 0.000 0.000
0.000 6.491 0.000
0.000 0.000 6.491
ATOMIC_POSITIONS crystal
Cs 0.000 0.000 0.500
Cs 0.500 0.000 0.000
Cs 0.000 0.500 0.000
Te 0.500 0.500 0.500
Cl 0.000 0.000 0.000
! Crystal system   cubic
! E_form (uncorrected)   -6.3 eV/f.u.
! Uncorrected energy   -13.83 eV/f.u.
! ΔE to the lowest computed polymorph   0 meV per atom

---

! PBE Cs2TeCl, relaxed; values from VASP
&SYSTEM
  ibrav = 0, nat = 4, ntyp = 3
/
ATOMIC_SPECIES
Cl 35.45 Cl.upf
Cs 132.91 Cs.upf
Te 127.60 Te.upf
CELL_PARAMETERS angstrom
0.000 4.497 4.497
4.497 0.000 4.497
4.497 4.497 0.000
ATOMIC_POSITIONS crystal
Cl 0.000 0.000 0.000
Cs 0.750 0.750 0.750
Cs 0.250 0.250 0.250
Te 0.500 0.500 0.500
! Crystal system   cubic
! E_form (uncorrected)   -4.4 eV/f.u.
! Uncorrected energy   -11.10 eV/f.u.
! ΔE to the lowest computed polymorph   254 meV per atom

---

! PBE Cs7TeCl5, relaxed; values from VASP
&SYSTEM
  ibrav = 0, nat = 26, ntyp = 3
/
ATOMIC_SPECIES
Cs 132.91 Cs.upf
Cl 35.45 Cl.upf
Te 127.60 Te.upf
CELL_PARAMETERS angstrom
-4.349 -2.361 1.496
6.547 -5.410 1.565
3.035 11.447 26.887
ATOMIC_POSITIONS crystal
Cs 0.904 0.808 0.389
Cs 0.452 0.905 0.250
Cs 0.818 0.636 0.676
Cs 0.367 0.734 0.536
Cs 0.548 0.096 0.750
Cs 0.183 0.366 0.176
Cs 0.183 0.365 0.324
Cs 0.904 0.809 0.111
Cs 0.097 0.193 0.611
Cs 0.096 0.192 0.889
Cs 0.367 0.733 0.965
Cs 0.818 0.635 0.824
Cs 0.634 0.267 0.465
Cs 0.634 0.268 0.035
Cl 0.539 0.078 0.357
Cl 0.728 0.455 0.571
Cl 0.273 0.546 0.429
Cl 0.461 0.922 0.857
Cl 0.540 0.079 0.142
Cl 0.000 0.001 0.000
Cl 0.461 0.923 0.643
Cl 0.273 0.546 0.071
Cl 0.727 0.455 0.929
Cl 0.000 0.001 0.500
Te 0.793 0.586 0.250
Te 0.207 0.415 0.750
! Crystal system   monoclinic
! E_form (uncorrected)   -22.7 eV/f.u.
! Uncorrected energy   -41.02 eV/f.u.

---

! PBE CsTe3Cl, relaxed; values from VASP
&SYSTEM
  ibrav = 0, nat = 5, ntyp = 3
/
ATOMIC_SPECIES
Te 127.60 Te.upf
Cs 132.91 Cs.upf
Cl 35.45 Cl.upf
CELL_PARAMETERS angstrom
-1.598 -2.516 -4.839
-0.071 -5.032 2.640
-5.453 0.802 1.383
ATOMIC_POSITIONS crystal
Te 0.000 0.000 0.500
Te 0.000 0.500 0.000
Te 0.500 0.000 0.000
Cs 0.500 0.500 0.500
Cl 0.000 0.000 0.000
! Crystal system   cubic
! E_form (uncorrected)   0.3 eV/f.u.
! Uncorrected energy   -11.86 eV/f.u.
! ΔE to the lowest computed polymorph   0 meV per atom

---

! PBE Cs3TeCl8, relaxed; values from VASP
&SYSTEM
  ibrav = 0, nat = 24, ntyp = 3
/
ATOMIC_SPECIES
Cs 132.91 Cs.upf
Cl 35.45 Cl.upf
Te 127.60 Te.upf
CELL_PARAMETERS angstrom
9.416 0.000 0.000
0.000 9.071 -5.237
0.000 0.000 10.475
ATOMIC_POSITIONS crystal
Cs 0.194 0.848 0.152
Cs 0.194 0.303 0.152
Cs 0.694 0.697 0.848
Cs 0.694 0.152 0.848
Cs 0.694 0.152 0.303
Cs 0.194 0.848 0.697
Cl 0.505 0.892 0.446
Cl 0.947 0.000 0.000
Cl 0.807 0.784 0.216
Cl 0.307 0.216 0.784
Cl 0.505 0.554 0.446
Cl 0.005 0.446 0.554
Cl 0.447 0.000 0.000
Cl 0.307 0.567 0.784
Cl 0.307 0.216 0.433
Cl 0.005 0.446 0.892
Cl 0.505 0.554 0.108
Cl 0.807 0.433 0.216
Cl 0.005 0.108 0.554
Cl 0.149 0.667 0.333
Cl 0.649 0.333 0.667
Cl 0.807 0.784 0.567
Te 0.156 0.333 0.667
Te 0.656 0.667 0.333
! Crystal system   hexagonal
! E_form (uncorrected)   -14.8 eV/f.u.
! Uncorrected energy   -35.23 eV/f.u.

---

! PBE CsTeCl2, relaxed; values from VASP
&SYSTEM
  ibrav = 0, nat = 4, ntyp = 3
/
ATOMIC_SPECIES
Cl 35.45 Cl.upf
Te 127.60 Te.upf
Cs 132.91 Cs.upf
CELL_PARAMETERS angstrom
2.198 0.000 10.862
-1.099 1.903 10.862
-1.099 -1.903 10.862
ATOMIC_POSITIONS crystal
Cl 0.907 0.907 0.907
Cl 0.093 0.093 0.093
Te 0.500 0.500 0.500
Cs 0.000 0.000 0.000
! Crystal system   trigonal
! E_form (uncorrected)   -0.9 eV/f.u.
! Uncorrected energy   -8.59 eV/f.u.
! ΔE to the lowest computed polymorph   704 meV per atom

---

! PBE CsTeCl2, relaxed; values from VASP
&SYSTEM
  ibrav = 0, nat = 8, ntyp = 3
/
ATOMIC_SPECIES
Cl 35.45 Cl.upf
Cs 132.91 Cs.upf
Te 127.60 Te.upf
CELL_PARAMETERS angstrom
-5.291 2.493 -1.236
-2.779 -4.593 2.630
-3.808 3.417 8.737
ATOMIC_POSITIONS crystal
Cl 0.375 0.487 0.750
Cl 0.237 0.625 0.250
Cl 0.875 0.763 0.750
Cl 0.513 0.125 0.250
Cs 0.000 0.000 0.000
Cs 0.750 0.250 0.500
Te 0.250 0.750 0.500
Te 0.500 0.500 0.000
! Crystal system   tetragonal
! E_form (uncorrected)   -3.1 eV/f.u.
! Uncorrected energy   -10.83 eV/f.u.
! ΔE to the lowest computed polymorph   143 meV per atom

---

! PBE Cs2TiTeCl6, relaxed; values from VASP
&SYSTEM
  ibrav = 0, nat = 10, ntyp = 4
/
ATOMIC_SPECIES
Cl 35.45 Cl.upf
Te 127.60 Te.upf
Ti 47.87 Ti.upf
Cs 132.91 Cs.upf
CELL_PARAMETERS angstrom
8.519 0.000 0.000
0.000 8.519 0.000
4.260 4.260 4.991
ATOMIC_POSITIONS crystal
Cl 0.697 0.303 0.000
Cl 0.740 0.740 0.521
Cl 0.260 0.260 0.479
Cl 0.697 0.697 0.000
Cl 0.303 0.303 0.000
Cl 0.303 0.697 0.000
Te 0.000 0.000 0.000
Ti 0.500 0.500 0.000
Cs 0.750 0.250 0.500
Cs 0.250 0.750 0.500
! Crystal system   tetragonal
! E_form (uncorrected)   -14.1 eV/f.u.
! Uncorrected energy   -37.92 eV/f.u.

---

! PBE Cs2TlTeCl6, relaxed; values from VASP
&SYSTEM
  ibrav = 0, nat = 20, ntyp = 4
/
ATOMIC_SPECIES
Te 127.60 Te.upf
Cs 132.91 Cs.upf
Tl 204.38 Tl.upf
Cl 35.45 Cl.upf
CELL_PARAMETERS angstrom
7.604 0.000 0.000
0.000 8.405 0.000
0.000 0.000 12.144
ATOMIC_POSITIONS crystal
Te 0.000 0.769 0.000
Te 0.500 0.231 0.500
Cs 0.000 0.209 0.270
Cs 0.000 0.209 0.730
Cs 0.500 0.791 0.770
Cs 0.500 0.791 0.230
Tl 0.500 0.270 0.000
Tl 0.000 0.730 0.500
Cl 0.737 0.010 0.500
Cl 0.763 0.990 0.000
Cl 0.000 0.779 0.258
Cl 0.500 0.221 0.758
Cl 0.758 0.558 0.000
Cl 0.258 0.442 0.500
Cl 0.237 0.990 0.000
Cl 0.500 0.221 0.242
Cl 0.000 0.779 0.742
Cl 0.242 0.558 0.000
Cl 0.263 0.010 0.500
Cl 0.742 0.442 0.500
! Crystal system   orthorhombic
! E_form (uncorrected)   -11.9 eV/f.u.
! Uncorrected energy   -30.21 eV/f.u.

---

! PBE CsTlTeCl6, relaxed; values from VASP
&SYSTEM
  ibrav = 0, nat = 9, ntyp = 4
/
ATOMIC_SPECIES
Cl 35.45 Cl.upf
Cs 132.91 Cs.upf
Tl 204.38 Tl.upf
Te 127.60 Te.upf
CELL_PARAMETERS angstrom
-0.760 2.898 7.213
-6.928 -0.243 3.597
1.645 -6.377 2.737
ATOMIC_POSITIONS crystal
Cl 0.600 0.337 0.710
Cl 0.337 0.600 0.290
Cl 0.337 0.063 0.710
Cl 0.600 0.063 0.290
Cl 0.063 0.337 0.290
Cl 0.063 0.600 0.710
Cs 0.000 0.000 0.000
Tl 0.667 0.667 0.500
Te 0.333 0.333 0.500
! Crystal system   trigonal
! E_form (uncorrected)   -9.4 eV/f.u.
! Uncorrected energy   -26.81 eV/f.u.

---

! PBE Cs2TlTeCl6, relaxed; values from VASP
&SYSTEM
  ibrav = 0, nat = 10, ntyp = 4
/
ATOMIC_SPECIES
Te 127.60 Te.upf
Cl 35.45 Cl.upf
Cs 132.91 Cs.upf
Tl 204.38 Tl.upf
CELL_PARAMETERS angstrom
7.931 0.000 0.000
0.000 7.931 0.000
3.965 3.965 6.020
ATOMIC_POSITIONS crystal
Te 0.500 0.500 0.000
Cl 0.730 0.270 0.000
Cl 0.758 0.758 0.485
Cl 0.270 0.730 0.000
Cl 0.242 0.242 0.515
Cl 0.270 0.270 0.000
Cl 0.730 0.730 0.000
Cs 0.750 0.250 0.500
Cs 0.250 0.750 0.500
Tl 0.000 0.000 0.000
! Crystal system   tetragonal
! E_form (uncorrected)   -11.9 eV/f.u.
! Uncorrected energy   -30.20 eV/f.u.